Compound: ZnIn2Ge2
Source: Alexandria via LeMat-Bulk
Functional: PBE
Structure: relaxed

Geometry as POSCAR:
```
ZnIn2Ge2
1.0
8.118 0.000 0.000
0.000 8.118 0.000
0.000 0.000 3.519
Ge In Zn
4 4 2
direct
0.869 0.369 0.500 Ge
0.131 0.631 0.500 Ge
0.631 0.869 0.500 Ge
0.369 0.131 0.500 Ge
0.835 0.665 0.000 In
0.335 0.835 0.000 In
0.665 0.165 0.000 In
0.165 0.335 0.000 In
0.000 0.000 0.000 Zn
0.500 0.500 0.000 Zn
```

Output
Energy of formation from the pure elements: 0.299 eV per atom
Polymorph energy (0 for the lowest one): 0.70 eV per formula unit
DOS at the Fermi energy: 2.86 states/eV/f.u.
Total energy: -28.98 eV/cell
Mass density: 6.305 Mg/m³
Symmetry: P4/mbm, No. 127